Record 1
# La2Y4Er PBE optimized geometry
# - Energy of formation from the pure elements: 0.17 eV per atom
# - E above lowest polymorph: 0.0 meV/atom
# - Raw total energy: -5.581 eV per atom
# - Crystal system: monoclinic
# - Theoretical density: 5.6 g/cm3
data_La2Y4Er
_cell_length_a 16.707
_cell_length_b 6.789
_cell_length_c 11.749
_cell_angle_alpha 90.00
_cell_angle_beta 134.66
_cell_angle_gamma 90.00
_symmetry_space_group_name_H-M 'C 1 2 1'
_symmetry_Int_Tables_number 5
loop_
_symmetry_equiv_pos_as_xyz
'x,y,z'
'-x,y,-z'
'x+1/2,y+1/2,z'
'-x+1/2,y+1/2,-z'
loop_
_atom_site_label
_atom_site_type_symbol
_atom_site_fract_x
_atom_site_fract_y
_atom_site_fract_z
La1 La 0.000 0.000 0.000
La2 La 0.000 0.005 0.500
La3 La 0.222 0.120 0.973
Y1 Y 0.002 0.335 0.250
Y2 Y 0.005 0.781 0.256
Y3 Y 0.154 0.489 0.651
Y4 Y 0.156 0.487 0.159
Er1 Er 0.227 0.119 0.476


Record 2
# La7YEr12 PBE optimized geometry
# - Energy of formation from the pure elements: 0.64 eV per atom
# - Raw total energy: -4.141 eV per atom
# - Crystal system: cubic
# - Theoretical density: 6.8 g/cm3
data_La7YEr12
_cell_length_a 11.417
_cell_length_b 11.417
_cell_length_c 11.417
_cell_angle_alpha 90.00
_cell_angle_beta 90.00
_cell_angle_gamma 90.00
_symmetry_space_group_name_H-M 'I m -3 m'
_symmetry_Int_Tables_number 229
_symmetry_space_group_name_Hall '-I 4 2 3'
loop_
_atom_site_label
_atom_site_type_symbol
_atom_site_fract_x
_atom_site_fract_y
_atom_site_fract_z
La1 La 0.000 0.000 0.500
La2 La 0.250 0.250 0.250
Y1 Y 0.000 0.000 0.000
Er1 Er 0.000 0.223 0.223